No. 1
# HoGeAsO

HoGeAsO after structural relaxation (PBE, OQMD).

Unit cell a=3.8006 b=6.2131 c=6.9701 alpha=90.00 beta=90.00 gamma=90.00
Element x y z (fractional)
Ho 0.0000 0.2427 0.0000
Ho 0.0000 0.7573 0.5000
Ge 0.5000 0.3896 0.6090
Ge 0.5000 0.6104 0.1090
As 0.0000 0.2233 0.4249
As 0.0000 0.7767 0.9249
O 0.5000 0.2361 0.8462
O 0.5000 0.7639 0.3462

Summary:
VASP energy = -6.081 eV/atom
Excess energy over the best structure of this formula in the dataset = 112.5 meV/atom

No. 2
# CoNiAsPd

CoNiAsPd after structural relaxation (PBE, OQMD).

Unit cell a=4.1903 b=4.1903 c=4.1903 alpha=60.00 beta=60.00 gamma=60.00
Element x y z (fractional)
Co 0.0000 0.0000 0.0000
Ni 0.5000 0.5000 0.5000
As 0.7500 0.7500 0.7500
Pd 0.2500 0.2500 0.2500

Summary:
VASP energy = -5.622 eV/atom
Excess energy over the best structure of this formula in the dataset = 0.0 meV/atom